Entry from Alexandria via LeMat-Bulk: an optimized crystal structure of RbBi3H (PBE-GGA).

Computed properties:
Energy relative to the lowest polymorph listed for this composition: 709 kJ/mol of formula units
E: -7.9 eV per formula unit

Cell lengths 6.382, 6.382, 6.382 Å; angles 90.00, 90.00, 90.00 degrees
Element x y z (fractional)
H 0.500 0.500 0.500
Bi 0.000 0.500 0.000
Bi 0.000 0.000 0.500
Bi 0.500 0.000 0.000
Rb 0.000 0.000 0.000